# Cd5SnPd6

A relaxed structure of Cd5SnPd6 (PBE-GGA, Alexandria).

a = 4.708 Å, b = 6.355 Å, c = 7.461 Å
α = 90.00°, β = 71.61°, γ = 90.00°
Sites, in units of the cell vectors:
Cd: 0.332 0.500 0.337
Cd: 0.000 0.500 0.000
Cd: 0.668 0.500 0.663
Cd: 0.673 0.000 0.654
Cd: 0.327 0.000 0.346
Pd: 0.500 0.761 0.000
Pd: 0.161 0.247 0.678
Pd: 0.839 0.753 0.322
Pd: 0.500 0.239 0.000
Pd: 0.839 0.247 0.322
Pd: 0.161 0.753 0.678
Sn: 0.000 0.000 0.000

Values from the calculation:
Magnetization   0.00 μB/cell
E_form   -0.424 eV per atom
N(E_F)   0.30 states/eV per atom



# CdSn3Pd

A relaxed structure of CdSn3Pd (PBE-GGA, Alexandria).

a = 6.838 Å, b = 6.838 Å, c = 7.076 Å
α = 103.88°, β = 123.11°, γ = 100.76°
Sites, in units of the cell vectors:
Sn: 0.169 0.001 0.771
Sn: 0.230 0.398 0.229
Sn: 0.770 0.602 0.771
Sn: 0.256 0.579 0.835
Sn: 0.831 0.999 0.229
Sn: 0.744 0.421 0.165
Cd: 0.297 0.949 0.245
Cd: 0.703 0.051 0.755
Pd: 0.362 0.267 0.629
Pd: 0.638 0.733 0.371

Values from the calculation:
Magnetization   0.00 μB/cell
E_form   -0.168 eV per atom
N(E_F)   0.39 states/eV per atom
Energy above the most stable polymorph in this dataset   0 meV per atom



# CdSn8Pd2

A relaxed structure of CdSn8Pd2 (PBE-GGA, Alexandria).

a = 5.094 Å, b = 7.989 Å, c = 7.989 Å
α = 66.65°, β = 79.69°, γ = 79.69°
Sites, in units of the cell vectors:
Sn: 0.035 0.425 0.840
Sn: 0.446 0.393 0.393
Sn: 0.965 0.575 0.160
Sn: 0.582 0.868 0.868
Sn: 0.418 0.132 0.132
Sn: 0.554 0.607 0.607
Sn: 0.035 0.840 0.425
Sn: 0.965 0.160 0.575
Pd: 0.145 0.784 0.784
Pd: 0.855 0.216 0.216
Cd: 0.000 0.000 0.000

Values from the calculation:
Magnetization   0.00 μB/cell
E_form   -0.086 eV per atom
N(E_F)   0.38 states/eV per atom



# Cd4SnPd2

A relaxed structure of Cd4SnPd2 (PBE-GGA, Alexandria).

a = 4.529 Å, b = 4.529 Å, c = 9.520 Å
α = 76.24°, β = 76.24°, γ = 60.00°
Sites, in units of the cell vectors:
Sn: 0.000 0.000 0.000
Pd: 0.097 0.097 0.709
Pd: 0.903 0.903 0.291
Cd: 0.199 0.199 0.403
Cd: 0.801 0.801 0.597
Cd: 0.396 0.396 0.813
Cd: 0.604 0.604 0.187

Values from the calculation:
Magnetization   0.00 μB/cell
E_form   -0.168 eV per atom
N(E_F)   0.49 states/eV per atom



# CdSn4Pd15

A relaxed structure of CdSn4Pd15 (PBE-GGA, Alexandria).

a = 4.040 Å, b = 4.040 Å, c = 20.155 Å
α = 90.00°, β = 90.00°, γ = 90.00°
Sites, in units of the cell vectors:
Pd: 0.500 0.500 0.400
Pd: 0.500 0.500 0.201
Pd: 0.500 0.500 0.000
Pd: 0.500 0.000 0.300
Pd: 0.000 0.500 0.899
Pd: 0.000 0.500 0.300
Pd: 0.500 0.000 0.500
Pd: 0.000 0.500 0.700
Pd: 0.000 0.500 0.101
Pd: 0.500 0.500 0.799
Pd: 0.000 0.500 0.500
Pd: 0.500 0.000 0.899
Pd: 0.500 0.500 0.600
Pd: 0.500 0.000 0.101
Pd: 0.500 0.000 0.700
Cd: 0.000 0.000 0.000
Sn: 0.000 0.000 0.802
Sn: 0.000 0.000 0.198
Sn: 0.000 0.000 0.601
Sn: 0.000 0.000 0.399

Values from the calculation:
Magnetization   0.00 μB/cell
E_form   -0.449 eV per atom
N(E_F)   0.64 states/eV per atom



# CdSnPd3

A relaxed structure of CdSnPd3 (PBE-GGA, Alexandria).

a = 4.928 Å, b = 4.928 Å, c = 4.928 Å
α = 90.00°, β = 90.00°, γ = 90.00°
Sites, in units of the cell vectors:
Cd: 0.500 0.500 0.500
Pd: 0.500 0.000 0.000
Pd: 0.000 0.000 0.500
Pd: 0.000 0.500 0.000
Sn: 0.000 0.000 0.000

Values from the calculation:
Magnetization   0.00 μB/cell
E_form   0.338 eV per atom
N(E_F)   0.41 states/eV per atom
Energy above the most stable polymorph in this dataset   688 meV per atom



no.,volume (Å³/atom)
1,17.65
2,24.77
3,26.51
4,23.23
5,16.45
6,23.94